## MgMnFeCo2 (PBE)

Data for a relaxed MgMnFeCo2 crystal.

Lattice parameters (Å, degrees): 4.134 4.134 4.578 90.00 90.00 90.00
Atoms (fractional coordinates):
Mg1 0.000 0.000 0.000
Mn1 0.000 0.000 0.500
Fe1 0.500 0.500 0.000
Co1 0.000 0.500 0.500
Co2 0.500 0.000 0.500

Computed properties:
Symmetry: P4/mmm, No. 123
Electronic total energy (eV per atom): -5.462